1.
! Pm3Er3Tl (PBE, relaxed); values from VASP
! **Calculated total energy**: -0.162 Ha/atom
! **Symmetry**: P6_3/m
! **DOS(E_F)**: 19.8 states/eV/cell
! **Total magnetization**: 0.0020 μB per atom
! **ΔE_f**: -0.51 eV per formula unit
&SYSTEM
  ibrav = 0, nat = 14, ntyp = 3
/
ATOMIC_SPECIES
Pm 145.00 Pm.upf
Er 167.26 Er.upf
Tl 204.38 Tl.upf
ATOMIC_POSITIONS crystal
Pm 0.2500 0.5252 0.6321
Pm 0.2500 0.1065 0.4745
Pm 0.2500 0.3678 0.8934
Pm 0.7500 0.4748 0.3679
Pm 0.7500 0.8935 0.5255
Pm 0.7500 0.6322 0.1066
Er 0.7500 0.7651 0.8242
Er 0.7500 0.0593 0.2350
Er 0.7500 0.1757 0.9410
Er 0.2500 0.2349 0.1758
Er 0.2500 0.9407 0.7650
Er 0.2500 0.8243 0.0590
Tl 0.7500 0.3333 0.6667
Tl 0.2500 0.6667 0.3333
CELL_PARAMETERS angstrom
5.5741 0.0000 0.0000
0.0000 9.4933 -0.0085
0.0000 -4.7420 8.2239

=====

2.
! KCa2Cu (PBE, relaxed); values from VASP
! **Energy relative to the lowest polymorph listed for this composition**: 70 meV/atom
! **Calculated total energy**: -0.080 Ha/atom
! **Symmetry**: Imm2
! **DOS(E_F)**: 3.2 states/eV/cell
! **Total magnetization**: 0.0000 μB per atom
! **ΔE_f**: 0.47 eV per formula unit
&SYSTEM
  ibrav = 0, nat = 4, ntyp = 3
/
ATOMIC_SPECIES
Ca 40.08 Ca.upf
Cu 63.55 Cu.upf
K 39.10 K.upf
ATOMIC_POSITIONS crystal
Ca 0.9932 0.9932 0.0000
Ca 0.6486 0.1486 0.5000
Cu 0.5430 0.5430 0.0000
K 0.3151 0.8151 0.5000
CELL_PARAMETERS angstrom
10.7656 0.3405 -0.1134
9.1631 5.6614 0.1134
-9.8909 -3.2447 2.7691

=====

3.
! VP2OsS (PBE, relaxed); values from VASP
! **Energy relative to the lowest polymorph listed for this composition**: 290 meV/atom
! **Calculated total energy**: -0.220 Ha/atom
! **Symmetry**: P4/mmm
! **DOS(E_F)**: 4.8 states/eV/cell
! **Total magnetization**: 0.4069 μB per atom
! **Raw formation energy**: 1.068 eV per atom
&SYSTEM
  ibrav = 0, nat = 5, ntyp = 4
/
ATOMIC_SPECIES
P 30.97 P.upf
S 32.06 S.upf
Os 190.23 Os.upf
V 50.94 V.upf
ATOMIC_POSITIONS crystal
P 0.0000 0.5000 0.0000
P 0.5000 0.0000 0.0000
S 0.0000 0.0000 0.5000
Os 0.5000 0.5000 0.5000
V 0.0000 0.0000 0.0000
CELL_PARAMETERS angstrom
4.5012 0.0000 0.0000
0.0000 4.5012 0.0000
0.0000 0.0000 4.3411

=====

4.
! AcSi2HgPd5 (PBE, relaxed); values from VASP
! **Calculated total energy**: -0.186 Ha/atom
! **Symmetry**: P4/mmm
! **DOS(E_F)**: 4.1 states/eV/cell
! **Total magnetization**: 0.0000 μB per atom
! **Raw formation energy**: -0.482 eV per atom
&SYSTEM
  ibrav = 0, nat = 9, ntyp = 4
/
ATOMIC_SPECIES
Ac 227.00 Ac.upf
Si 28.09 Si.upf
Hg 200.59 Hg.upf
Pd 106.42 Pd.upf
ATOMIC_POSITIONS crystal
Ac 0.0000 0.0000 0.5000
Si 0.5000 0.5000 0.2788
Si 0.5000 0.5000 0.7212
Hg 0.0000 0.0000 0.0000
Pd 0.0000 0.5000 0.1778
Pd 0.5000 0.0000 0.1778
Pd 0.0000 0.5000 0.8222
Pd 0.5000 0.0000 0.8222
Pd 0.5000 0.5000 0.5000
CELL_PARAMETERS angstrom
-0.7066 0.8365 -4.0648
3.1047 -2.6294 -1.0808
-6.9861 -8.0660 -0.4454